Computed, not measured: a relaxed La2Y2Ru crystal at the PBE level of DFT.

```
La2Y2Ru
1.0
7.215 0.000 0.000
0.000 7.215 0.000
0.000 0.000 5.804
La Y Ru
4 4 2
Direct
0.160 0.340 0.000 La
0.340 0.840 0.000 La
0.660 0.160 0.000 La
0.840 0.660 0.000 La
0.169 0.669 0.500 Y
0.331 0.169 0.500 Y
0.669 0.831 0.500 Y
0.831 0.331 0.500 Y
0.000 0.000 0.000 Ru
0.500 0.500 0.000 Ru
```

Properties
Excess energy over the best structure of this formula in the dataset in eV per atom: 0.237
Formation energy from the elements in eV/atom: 0.080
Calculated volume in Å³/atom: 30.217
Space-group type: No. 127

***

Computed, not measured: a relaxed Ac2PuTl3Se6 crystal at the PBE level of DFT.

```
Ac2PuTl3Se6
1.0
3.881 -6.719 0.000
3.881 6.719 0.000
-2.586 0.000 7.673
Ac Pu Tl Se
2 1 3 6
Direct
0.167 0.833 0.000 Ac
0.833 0.167 0.000 Ac
0.500 0.500 0.000 Pu
0.000 0.000 0.500 Tl
0.333 0.667 0.500 Tl
0.667 0.333 0.500 Tl
0.111 0.429 0.788 Se
0.254 0.254 0.216 Se
0.429 0.111 0.788 Se
0.571 0.889 0.212 Se
0.746 0.746 0.784 Se
0.889 0.571 0.212 Se
```

Properties
Uncorrected formation energy in eV/atom: -1.3066
Calculated volume in Å³/atom: 33.345
Space-group type: No. 12